Entry 1:
{
  "formula": "RbNp2F8",
  "functional": "GGA-PBE",
  "state": "optimized geometry",
  "lattice_angstrom": [[3.6150, -5.5835, 0.0000], [3.6150, 5.5835, 0.0000], [-0.6606, 0.0000, 4.4587]],
  "species": ["Rb", "Np", "Np", "F", "F", "F", "F", "F", "F", "F", "F"],
  "frac_coords": [[0.0000, 0.0000, 0.0000], [0.3245, 0.6755, 0.5000], [0.6755, 0.3245, 0.5000], [0.0408, 0.3371, 0.5645], [0.2734, 0.7266, 0.0000], [0.3371, 0.0408, 0.5645], [0.4007, 0.4007, 0.2415], [0.5993, 0.5993, 0.7585], [0.6629, 0.9592, 0.4355], [0.7266, 0.2734, 0.0000], [0.9592, 0.6629, 0.4355]],
  "vol_a3_per_cell": 180.0,
  "raw_formation_energy_ev_per_fu": -37.71,
  "spacegroup": "C2/m (12)",
  "e_tot_ev_per_atom": -7.23,
  "magmom_total_mub_per_fu": 7.0
}

***

Entry 2:
{
  "formula": "Ce3BiTe2",
  "functional": "GGA-PBE",
  "state": "optimized geometry",
  "lattice_angstrom": [[3.9334, -6.8247, 0.0000], [3.9334, 6.8247, 0.0000], [-2.6254, 0.0000, 7.3629]],
  "species": ["Ce", "Ce", "Ce", "Ce", "Ce", "Ce", "Bi", "Bi", "Te", "Te", "Te", "Te"],
  "frac_coords": [[0.0000, 0.5000, 0.0000], [0.1603, 0.3296, 0.4985], [0.3296, 0.1603, 0.9985], [0.5000, 0.0000, 0.5000], [0.6704, 0.8397, 0.0015], [0.8397, 0.6704, 0.5015], [0.4178, 0.5822, 0.2500], [0.5822, 0.4178, 0.7500], [0.0836, 0.9164, 0.2500], [0.2516, 0.7484, 0.7500], [0.7484, 0.2516, 0.2500], [0.9164, 0.0836, 0.7500]],
  "vol_a3_per_cell": 395.3,
  "raw_formation_energy_ev_per_fu": -7.08,
  "de_polymorph_mev_per_atom": 0.0,
  "spacegroup": "C2/c (15)",
  "e_tot_ev_per_atom": -5.84,
  "magmom_total_mub_per_fu": 3.5
}

***

Entry 3:
{
  "formula": "Tb5Pr4Er4",
  "functional": "GGA-PBE",
  "state": "optimized geometry",
  "lattice_angstrom": [[-6.4843, 6.4843, 2.5334], [6.4843, -6.4843, 2.5334], [6.4843, 6.4843, -2.5334]],
  "species": ["Tb", "Tb", "Tb", "Tb", "Tb", "Pr", "Pr", "Pr", "Pr", "Er", "Er", "Er", "Er"],
  "frac_coords": [[0.0000, 0.0000, 0.0000], [0.3109, 0.5397, 0.8506], [0.4603, 0.3109, 0.7712], [0.5397, 0.6891, 0.2288], [0.6891, 0.4603, 0.1494], [0.0784, 0.3813, 0.4597], [0.3813, 0.9216, 0.3028], [0.6187, 0.0784, 0.6972], [0.9216, 0.6187, 0.5403], [0.1533, 0.7706, 0.9239], [0.2294, 0.1533, 0.3827], [0.7706, 0.8467, 0.6173], [0.8467, 0.2294, 0.0761]],
  "vol_a3_per_cell": 426.1,
  "formation_energy_ev_per_atom": 0.021,
  "spacegroup": "I4/m (87)",
  "e_tot_ev_per_atom": -4.63,
  "magmom_total_mub_per_fu": 0.0
}